# 1
Compound: CrMoAs2
Source: the Alexandria database
Functional: PBE
Structure: relaxed

Calculated values
Crystal system: tetragonal
Energy relative to the lowest polymorph listed for this composition, meV per atom: 219
Energy of formation, eV per atom: 0.023
Space group: No. 123

```
CrMoAs2
1.0
-2.591 -3.512 -0.291
1.927 -1.714 3.533
-2.089 1.391 1.814
As Cr Mo
2 1 1
direct
0.000 0.000 0.000
0.500 0.500 0.000
0.500 0.000 0.500
0.000 0.500 0.500
```


# 2
Compound: Ba5ReN4Cl2
Source: the Alexandria database
Functional: PBE
Structure: relaxed

Calculated values
Crystal system: orthorhombic
Energy relative to the elements, uncorrected, eV per atom: -0.9076
Space group: No. 38

```
Ba5ReN4Cl2
1.0
-2.679 1.403 6.184
5.981 -1.460 -0.909
1.867 8.320 -1.079
Ba Re N Cl
5 1 4 2
direct
0.077 0.357 0.205
0.465 0.000 0.500
0.077 0.357 0.795
0.721 0.643 0.795
0.721 0.643 0.205
0.400 0.000 0.000
0.562 0.000 0.173
0.562 0.000 0.827
0.392 0.298 0.000
0.095 0.702 0.000
0.938 0.543 0.500
0.396 0.457 0.500
```


# 3
Compound: Tb6TlSb3
Source: the Alexandria database
Functional: PBE
Structure: relaxed

Calculated values
Crystal system: orthorhombic
Energy relative to the elements, uncorrected, eV per atom: -0.7862
Space group: No. 63

```
Tb6TlSb3
1.0
8.470 0.000 0.000
0.000 8.166 1.002
0.000 -0.845 8.184
Tb Tl Sb
12 2 6
direct
0.149 0.661 0.661
0.649 0.661 0.661
0.399 0.498 0.003
0.899 0.003 0.498
0.150 0.159 0.841
0.647 0.159 0.841
0.147 0.841 0.159
0.650 0.841 0.159
0.399 0.997 0.502
0.899 0.502 0.997
0.149 0.339 0.339
0.649 0.339 0.339
0.899 0.354 0.646
0.399 0.646 0.354
0.399 0.853 0.858
0.899 0.858 0.853
0.398 0.360 0.640
0.898 0.640 0.360
0.899 0.147 0.142
0.399 0.142 0.147
```


# 4
Compound: LaRuI2O
Source: the Alexandria database
Functional: PBE
Structure: relaxed

Calculated values
Crystal system: tetragonal
Energy relative to the elements, uncorrected, eV per atom: -0.4292
Energy relative to the lowest polymorph listed for this composition, meV per atom: 199
Space group: No. 123

```
LaRuI2O
1.0
6.472 0.000 0.000
0.000 6.472 0.000
0.000 0.000 4.273
I Ru O La
2 1 1 1
direct
0.000 0.500 0.000
0.500 0.000 0.000
0.500 0.500 0.500
0.000 0.000 0.500
0.000 0.000 0.000
```


# 5
Compound: CaPmZnAu
Source: the Alexandria database
Functional: PBE
Structure: relaxed

Calculated values
Crystal system: cubic
Energy of formation, eV per atom: -0.543
Space group: No. 216

```
CaPmZnAu
1.0
5.172 0.000 0.000
2.586 4.479 0.000
2.586 1.493 4.223
Zn Au Ca Pm
1 1 1 1
direct
0.000 0.000 0.000
0.500 0.500 0.500
0.250 0.250 0.250
0.750 0.750 0.750
```


# 6
Compound: GdZnSe2
Source: the Alexandria database
Functional: PBE
Structure: relaxed

Calculated values
Crystal system: trigonal
Energy relative to the elements, uncorrected, eV per atom: -0.4595
Space group: No. 166

```
GdZnSe2
1.0
-2.597 2.476 1.627
-3.347 0.864 -1.889
-5.707 -5.227 3.613
Zn Gd Se
1 1 2
direct
0.500 0.500 0.500
0.000 0.000 0.000
0.110 0.110 0.671
0.890 0.890 0.329
```


# 7
Compound: TaAgPdPt
Source: the Alexandria database
Functional: PBE
Structure: relaxed

Calculated values
Crystal system: orthorhombic
Energy relative to the lowest polymorph listed for this composition, meV per atom: 28
Energy of formation, eV per atom: -0.315
Space group: No. 25

```
TaAgPdPt
1.0
2.891 0.000 0.000
0.000 3.890 0.000
0.000 0.000 5.840
Ta Ag Pd Pt
1 1 1 1
direct
0.000 0.000 0.157
0.000 0.000 0.657
0.500 0.500 0.407
0.500 0.500 0.924
```


# 8
Compound: LiPmBeSi2
Source: the Alexandria database
Functional: PBE
Structure: relaxed

Calculated values
Crystal system: tetragonal
Energy relative to the elements, uncorrected, eV per atom: -0.4263
Space group: No. 119

```
LiPmBeSi2
1.0
4.060 0.000 0.000
0.000 4.060 0.000
-2.030 -2.030 4.964
Li Pm Be Si
1 1 1 2
direct
0.250 0.750 0.500
0.000 0.000 0.000
0.750 0.250 0.500
0.620 0.620 0.239
0.380 0.380 0.761
```


| no. | E (eV per atom) | Fermi-level density of states (states/eV per cell) |
| --- | --- | --- |
| 1 | -7.42 | 2.631 |
| 2 | -5.83 | 6.751 |
| 3 | -5.04 | 15.949 |
| 4 | -4.88 | 1.488 |
| 5 | -3.37 | 3.392 |
| 6 | -6.04 | 2.540 |
| 7 | -6.80 | 2.157 |
| 8 | -4.67 | 1.441 |